(1)
DFT (PBE) results for a relaxed CeHo2Ge crystal.

Lattice parameters (Å, degrees): 3.7664 3.7664 7.1323 90.00 90.00 90.00
Closest atoms and distances in Å follow each position.
Positions (direct):
Ho: 0.0000 0.0000 0.7896  1 Ho 3.00, 4 Ge 3.06
Ho: 0.0000 0.0000 0.2104  1 Ho 3.00, 4 Ge 3.06
Ce: 0.5000 0.5000 0.5000  8 Ho 3.37, 2 Ge 3.57, 4 Ce 3.77
Ge: 0.5000 0.5000 0.0000  8 Ho 3.06

The symmetry is P4/mmm, No. 123. As for the excess energy over the best structure of this formula in the dataset: 43.8 meV per atom. The spin magnetization is 0.01 μB/atom. Its volume is 25.29 A^3/atom. The density of states at the Fermi level is 1.769 states/eV/atom.

(2)
DFT (PBE) results for a relaxed PmNdSCl crystal.

Lattice parameters (Å, degrees): 3.8958 3.8979 7.8476 90.01 104.31 120.02
Closest atoms and distances in Å follow each position.
Positions (direct):
S: 0.1346 0.9653 0.1154  3 Nd 2.76, 3 Pm 2.76
Cl: 0.4749 0.1353 0.6249  3 Pm 3.07, 3 Nd 3.17-3.18
Nd: 0.9426 0.3694 0.3274  3 S 2.76
Pm: 0.3258 0.5608 0.9019  3 S 2.76, 3 Cl 3.07

The symmetry is Cm, No. 8. The spin magnetization is 0.00 μB/atom. The raw formation energy is -1.6671 eV per atom. Its volume is 24.72 A^3/atom. The density of states at the Fermi level is 0.604 states/eV/atom.

(3)
DFT (PBE) results for a relaxed Sc4HPt2 crystal.

Lattice parameters (Å, degrees): 4.3065 4.3065 7.4656 106.76 106.76 90.00
Closest atoms and distances in Å follow each position.
Positions (direct):
Sc: 0.1836 0.1836 0.3673  1 H 2.50, 1 Pt 2.58
Sc: 0.8164 0.8164 0.6327  1 H 2.50, 1 Pt 2.58
Sc: 0.0000 0.5000 0.0000  2 H 2.15
Sc: 0.5000 0.0000 0.0000  2 H 2.15
H: 0.0000 0.0000 0.0000  4 Sc 2.15
Pt: 0.6271 0.6271 0.2542  5 Sc 2.58-2.76
Pt: 0.3729 0.3729 0.7458  5 Sc 2.58-2.76

The symmetry is I4/mmm, No. 139. Its total DFT energy (no corrections) is -6.647 eV per atom. The spin magnetization is 0.00 μB/atom. Its volume is 18.06 A^3/atom. The density of states at the Fermi level is 1.182 states/eV/atom.

(4)
DFT (PBE) results for a relaxed Tb3Co7Ru2 crystal.

Lattice parameters (Å, degrees): 5.0231 5.0231 8.7666 73.35 73.35 60.00
Closest atoms and distances in Å follow each position.
Positions (direct):
Ru: 0.3335 0.3335 0.9994  6 Co 2.53-2.54
Ru: 0.6665 0.6665 0.0006  6 Co 2.53-2.54
Co: 0.0836 0.5836 0.7491  5 Co 2.51-2.52, 2 Ru 2.53-2.54
Co: 0.4164 0.4164 0.2509  5 Co 2.51-2.52, 2 Ru 2.53-2.54
Co: 0.9164 0.4164 0.2509  5 Co 2.51-2.52, 2 Ru 2.53-2.54
Co: 0.4164 0.9164 0.2509  5 Co 2.51-2.52, 2 Ru 2.53-2.54
Co: 0.5000 0.5000 0.5000  6 Co 2.52
Co: 0.5836 0.0836 0.7491  5 Co 2.51-2.52, 2 Ru 2.53-2.54
Co: 0.5836 0.5836 0.7491  5 Co 2.51-2.52, 2 Ru 2.53-2.54
Tb: 0.1393 0.1393 0.5822  12 Co 2.87-3.10, 3 Tb 3.20
Tb: 0.0000 0.0000 0.0000  6 Ru 2.90
Tb: 0.8607 0.8607 0.4178  12 Co 2.87-3.10, 3 Tb 3.20

The symmetry is R-3m, No. 166. Its total DFT energy (no corrections) is -6.976 eV per atom. The spin magnetization is 0.58 μB/atom. Its volume is 15.06 A^3/atom. The density of states at the Fermi level is 1.385 states/eV/atom.

(5)
DFT (PBE) results for a relaxed Pm2NiC2 crystal.

Lattice parameters (Å, degrees): 5.8886 5.3490 6.4940 102.98 90.00 123.40
Closest atoms and distances in Å follow each position.
Positions (direct):
C: 0.1295 0.1383 0.4986  1 C 1.43
C: 0.8705 0.8617 0.5014  1 C 1.43
C: 0.9912 0.8617 0.0014  1 C 1.43
C: 0.0088 0.1383 0.9986  1 C 1.43
Ni: 0.1946 0.0000 0.7500  4 C 2.05-2.17
Ni: 0.8054 0.0000 0.2500  4 C 2.05-2.17
Pm: 0.8657 0.3316 0.7194  4 C 2.58-2.70
Pm: 0.1343 0.6684 0.2806  4 C 2.58-2.70
Pm: 0.4659 0.3316 0.2194  4 C 2.58-2.70
Pm: 0.5341 0.6684 0.7806  4 C 2.58-2.70

The symmetry is C2/c, No. 15. Its total DFT energy (no corrections) is -6.734 eV per atom. The spin magnetization is 0.00 μB/atom. Its volume is 16.45 A^3/atom. The density of states at the Fermi level is 0.427 states/eV/atom.

(6)
DFT (PBE) results for a relaxed ThTiSb2Pd2 crystal.

Lattice parameters (Å, degrees): 4.5689 4.5689 7.0386 90.00 90.00 120.00
Closest atoms and distances in Å follow each position.
Positions (direct):
Pd: 0.6667 0.3333 0.3254  4 Sb 2.67-2.87, 3 Ti 2.91
Pd: 0.3333 0.6667 0.6746  4 Sb 2.67-2.87, 3 Ti 2.91
Th: 0.0000 0.0000 0.0000  6 Sb 3.24, 6 Pd 3.49, 2 Ti 3.52
Sb: 0.6667 0.3333 0.7334  4 Pd 2.67-2.87
Sb: 0.3333 0.6667 0.2666  4 Pd 2.67-2.87
Ti: 0.0000 0.0000 0.5000  6 Pd 2.91, 6 Sb 3.11

The symmetry is P-3m1, No. 164. The spin magnetization is 0.00 μB/atom. The raw formation energy is -0.7289 eV per atom. Its volume is 21.21 A^3/atom. The density of states at the Fermi level is 0.546 states/eV/atom.

(7)
DFT (PBE) results for a relaxed MnTl2Sb crystal.

Lattice parameters (Å, degrees): 5.3348 5.3348 5.3348 60.00 60.00 60.00
Closest atoms and distances in Å follow each position.
Positions (direct):
Tl: 0.2500 0.2500 0.2500  4 Sb 3.27, 4 Mn 3.27
Tl: 0.7500 0.7500 0.7500  4 Mn 3.27, 4 Sb 3.27
Sb: 0.5000 0.5000 0.5000  8 Tl 3.27
Mn: 0.0000 0.0000 0.0000  8 Tl 3.27

The symmetry is Fm-3m, No. 225. As for the excess energy over the best structure of this formula in the dataset: 282.9 meV per atom. The spin magnetization is 1.10 μB/atom. The raw formation energy is 0.4540 eV per atom. Its volume is 26.84 A^3/atom. The density of states at the Fermi level is 0.909 states/eV/atom.

(8)
DFT (PBE) results for a relaxed Er4TlZn crystal.

Lattice parameters (Å, degrees): 3.5561 3.5561 12.6839 90.00 90.00 90.00
Closest atoms and distances in Å follow each position.
Positions (direct):
Er: 0.0000 0.0000 0.3323  4 Tl 3.29, 8 Er 3.52-3.56
Er: 0.0000 0.0000 0.6677  4 Tl 3.29, 8 Er 3.52-3.56
Er: 0.5000 0.5000 0.8625  4 Zn 3.06
Er: 0.5000 0.5000 0.1375  4 Zn 3.06
Zn: 0.0000 0.0000 0.0000  8 Er 3.06
Tl: 0.5000 0.5000 0.5000  8 Er 3.29, 4 Tl 3.56

The symmetry is P4/mmm, No. 123. As for the excess energy over the best structure of this formula in the dataset: 0.0 meV per atom. The spin magnetization is 0.00 μB/atom. Its volume is 26.73 A^3/atom. The density of states at the Fermi level is 1.084 states/eV/atom.

(9)
DFT (PBE) results for a relaxed BaAcCuGe crystal.

Lattice parameters (Å, degrees): 5.5537 5.5537 5.5537 60.00 60.00 60.00
Closest atoms and distances in Å follow each position.
Positions (direct):
Ge: 0.2500 0.2500 0.2500  4 Ba 3.40, 4 Ac 3.40
Ba: 0.5000 0.5000 0.5000  4 Cu 3.40, 4 Ge 3.40
Cu: 0.7500 0.7500 0.7500  4 Ba 3.40, 4 Ac 3.40
Ac: 0.0000 0.0000 0.0000  4 Ge 3.40, 4 Cu 3.40

The symmetry is F-43m, No. 216. Its total DFT energy (no corrections) is -3.981 eV per atom. The spin magnetization is 0.00 μB/atom. Its volume is 30.28 A^3/atom. The density of states at the Fermi level is 0.246 states/eV/atom.

(10)
DFT (PBE) results for a relaxed LaCu2Pd6 crystal.

Lattice parameters (Å, degrees): 7.9717 7.9717 7.9717 60.00 60.00 60.00
Closest atoms and distances in Å follow each position.
Positions (direct):
Pd: 0.9924 0.5076 0.5076  2 Cu 2.49, 1 La 2.73
Pd: 0.5076 0.9924 0.5076  2 Cu 2.49, 1 La 2.73
Pd: 0.7424 0.2576 0.2576  2 Cu 2.49, 1 La 2.73
Pd: 0.5076 0.9924 0.9924  2 Cu 2.49, 1 La 2.73
Pd: 0.7424 0.7424 0.2576  2 Cu 2.49, 1 La 2.73
Pd: 0.5076 0.5076 0.9924  2 Cu 2.49, 1 La 2.73
Pd: 0.2576 0.7424 0.2576  2 Cu 2.49, 1 La 2.73
Pd: 0.2576 0.7424 0.7424  2 Cu 2.49, 1 La 2.73
Pd: 0.9924 0.5076 0.9924  2 Cu 2.49, 1 La 2.73
Pd: 0.9924 0.9924 0.5076  2 Cu 2.49, 1 La 2.73
Pd: 0.2576 0.2576 0.7424  2 Cu 2.49, 1 La 2.73
Pd: 0.7424 0.2576 0.7424  2 Cu 2.49, 1 La 2.73
Cu: 0.1250 0.6250 0.1250  6 Pd 2.49
Cu: 0.1250 0.1250 0.6250  6 Pd 2.49
Cu: 0.1250 0.1250 0.1250  6 Pd 2.49
Cu: 0.6250 0.1250 0.1250  6 Pd 2.49
La: 0.7500 0.7500 0.7500  6 Pd 2.73
La: 0.5000 0.5000 0.5000  6 Pd 2.73

The symmetry is Fd-3m, No. 227. Its total DFT energy (no corrections) is -4.893 eV per atom. The spin magnetization is 0.00 μB/atom. Its volume is 19.90 A^3/atom. The density of states at the Fermi level is 0.522 states/eV/atom.